Entry P
Below is CdAg4Hg after structural relaxation, with properties calculated at the PBE level.

Computed properties:
- Crystal system: cubic

Cell lengths 7.9013, 7.9013, 7.9013 Å; angles 90.00, 90.00, 90.00 degrees
Last column: nearest neighbours and their distance in Å.
Space group F-43m (No. 216)
One atom of each set of equivalent atoms:
Cd  0.0000  0.0000  0.0000 x4  12 Ag 3.28, 4 Hg 3.42
Ag  0.1251  0.1251  0.3749 x16  6 Ag 2.79-2.80
Hg  0.2500  0.2500  0.7500 x4  12 Ag 3.28, 4 Cd 3.42

***

Entry Q
Below is CdAg4Hg after structural relaxation, with properties calculated at the PBE level.

Computed properties:
- Crystal system: orthorhombic

Cell lengths 4.9030, 18.8508, 4.9881 Å; angles 90.00, 90.00, 90.00 degrees
Last column: nearest neighbours and their distance in Å.
Space group Imma (No. 74)
One atom of each set of equivalent atoms:
Cd  0.0000  0.2500  0.0408 x4  10 Ag 2.93-3.06, 2 Cd 3.22
Ag  0.0000  0.0879  0.0293 x8  4 Ag 2.86-2.97, 4 Hg 2.87-3.12, 1 Cd 3.06
Ag  0.0000  0.1677  0.5419 x8  5 Ag 2.86-3.10, 4 Cd 2.93-2.94, 1 Hg 3.17
Hg  0.0000  0.0000  0.5000 x4  10 Ag 2.87-3.17

***

Stability check: which of them is least stable? entry P.

***

Entry P
Below is CdAg6Hg2 after structural relaxation, with properties calculated at the PBE level.

Computed properties:
- Crystal system: trigonal

Cell lengths 8.3438, 8.3438, 2.9217 Å; angles 90.00, 90.00, 120.00 degrees
Last column: nearest neighbours and their distance in Å.
Space group P-31m (No. 162)
One atom of each set of equivalent atoms:
Cd  0.0000  0.0000  0.0000 x1  6 Ag 2.85, 2 Cd 2.92
Ag  0.0000  0.3305  0.2439 x6  1 Cd 2.85, 2 Hg 2.89, 7 Ag 2.92-3.17
Hg  0.3333  0.6667  0.5000 x2  6 Ag 2.89, 2 Hg 2.92

***

Entry Q
Below is CdAg6Hg2 after structural relaxation, with properties calculated at the PBE level.

Computed properties:
- Crystal system: monoclinic

Cell lengths 8.8197, 9.7425, 8.4683 Å; angles 90.00, 105.18, 90.00 degrees
Last column: nearest neighbours and their distance in Å.
Space group C2/c (No. 15)
One atom of each set of equivalent atoms:
Cd  0.0000  0.1520  0.2500 x4  2 Hg 2.93, 10 Ag 2.95-3.18
Ag  0.0679  0.1129  0.9259 x8  6 Ag 2.88-2.97, 2 Cd 2.96-2.98, 3 Hg 2.96-3.18
Ag  0.0968  0.3862  0.0783 x8  6 Ag 2.88-2.98, 1 Cd 2.95, 4 Hg 2.98-3.17
Ag  0.2359  0.3862  0.4264 x8  6 Ag 2.88-2.98, 3 Hg 2.96-3.00, 2 Cd 3.12-3.18
Hg  0.1682  0.3458  0.7523 x8  1 Cd 2.93, 1 Hg 2.96, 10 Ag 2.96-3.18

***

Stability check: which of them is least stable? entry P.

***

Entry P
Below is Cd5AgHg2 after structural relaxation, with properties calculated at the PBE level.

Computed properties:
- Crystal system: orthorhombic

Cell lengths 6.0556, 13.4939, 4.3545 Å; angles 90.00, 90.00, 90.00 degrees
Last column: nearest neighbours and their distance in Å.
Space group Pbam (No. 55)
One atom of each set of equivalent atoms:
Cd  0.0000  0.0000  0.0000 x2  2 Ag 3.03, 4 Hg 3.11, 4 Cd 3.13
Cd  0.0087  0.2556  0.0000 x4  6 Cd 3.03-3.25, 4 Hg 3.11-3.18, 1 Ag 3.30
Cd  0.2386  0.6177  0.5000 x4  3 Hg 3.02-3.28, 2 Ag 3.06, 6 Cd 3.13-3.25
Ag  0.0000  0.5000  0.0000 x2  8 Cd 3.03-3.30, 4 Hg 3.17
Hg  0.2396  0.8750  0.5000 x4  9 Cd 3.02-3.28, 2 Ag 3.17

***

Entry Q
Below is Cd5AgHg2 after structural relaxation, with properties calculated at the PBE level.

Computed properties:
- Crystal system: orthorhombic

Cell lengths 4.6796, 19.1495, 10.6598 Å; angles 90.00, 90.00, 90.00 degrees
Last column: nearest neighbours and their distance in Å.
Space group Cmcm (No. 63)
One atom of each set of equivalent atoms:
Cd  0.0000  0.0327  0.1187 x8  1 Ag 2.80, 2 Cd 2.80-2.82, 2 Hg 2.93-2.98
Cd  0.0000  0.2616  0.7500 x4  2 Ag 2.79, 2 Hg 3.09, 4 Cd 3.10
Cd  0.0000  0.2798  0.0737 x8  1 Ag 2.98, 2 Hg 3.01, 4 Cd 3.04-3.10
Ag  0.0000  0.1591  0.2500 x4  6 Cd 2.79-2.98
Hg  0.0000  0.1228  0.6029 x8  5 Cd 2.93-3.09, 1 Hg 3.14

***

Stability check: which of them is least stable? entry Q.

***

Entry P
Below is Cd3Ag2Hg after structural relaxation, with properties calculated at the PBE level.

Computed properties:
- Crystal system: tetragonal

Cell lengths 3.4126, 3.4126, 10.5894 Å; angles 90.00, 90.00, 90.00 degrees
Last column: nearest neighbours and their distance in Å.
Space group P4/mmm (No. 123)
One atom of each set of equivalent atoms:
Cd  0.0000  0.0000  0.0000 x1  8 Ag 2.92
Cd  0.0000  0.0000  0.3141 x2  4 Ag 2.94, 4 Hg 3.11
Ag  0.5000  0.5000  0.1551 x2  8 Cd 2.92-2.94
Hg  0.5000  0.5000  0.5000 x1  8 Cd 3.11, 4 Hg 3.41

***

Entry Q
Below is Cd3Ag2Hg after structural relaxation, with properties calculated at the PBE level.

Computed properties:
- Crystal system: monoclinic

Cell lengths 14.9487, 6.1082, 5.4055 Å; angles 90.00, 91.66, 90.00 degrees
Last column: nearest neighbours and their distance in Å.
Space group C2/c (No. 15)
One atom of each set of equivalent atoms:
Cd  0.0000  0.1227  0.2500 x4  4 Hg 3.00-3.11, 4 Ag 3.01-3.07, 4 Cd 3.09-3.12
Cd  0.1712  0.3740  0.0968 x8  6 Ag 2.95-3.21, 4 Cd 3.01-3.12, 2 Hg 3.13-3.14
Ag  0.1668  0.1212  0.5768 x8  8 Cd 2.95-3.21, 3 Ag 3.08, 1 Hg 3.08
Hg  0.0000  0.3683  0.7500 x4  8 Cd 3.00-3.14, 2 Ag 3.08, 2 Hg 3.15

***

Stability check: which of them is least stable? entry Q.

***

Entry P
Below is Cd6Ag3Hg after structural relaxation, with properties calculated at the PBE level.

Computed properties:
- Crystal system: monoclinic

Cell lengths 8.4151, 4.9031, 10.7379 Å; angles 90.00, 111.65, 90.00 degrees
Last column: nearest neighbours and their distance in Å.
Space group P2_1/m (No. 11)
One atom of each set of equivalent atoms:
Cd  0.0075  0.2500  0.1701 x2  8 Cd 3.01-3.21, 4 Ag 3.05-3.17
Cd  0.0141  0.2500  0.6701 x2  5 Ag 2.97-3.13, 6 Cd 3.00-3.30, 1 Hg 3.16
Cd  0.1977  0.2500  0.4774 x2  4 Ag 2.99-3.11, 4 Cd 3.00-3.10, 3 Hg 3.08-3.25
Cd  0.1984  0.7500  0.1264 x2  4 Ag 3.00-3.18, 7 Cd 3.01-3.30, 1 Hg 3.04
Cd  0.3960  0.7500  0.9333 x2  7 Ag 2.98-3.17, 5 Cd 3.04-3.16
Cd  0.4163  0.2500  0.2604 x2  4 Ag 3.00-3.02, 4 Cd 3.04-3.21, 3 Hg 3.10-3.13
Ag  0.1993  0.2500  0.9655 x2  11 Cd 2.97-3.17, 1 Ag 3.09
Ag  0.2004  0.7500  0.6383 x2  9 Cd 2.98-3.15, 2 Ag 3.01, 1 Hg 3.20
Ag  0.3958  0.2500  0.7728 x2  8 Cd 2.99-3.18, 3 Ag 3.01-3.09, 1 Hg 3.29
Hg  0.3888  0.7500  0.4284 x2  8 Cd 3.04-3.25, 2 Hg 3.12, 2 Ag 3.20-3.29

***

Entry Q
Below is Cd6Ag3Hg after structural relaxation, with properties calculated at the PBE level.

Computed properties:
- Crystal system: orthorhombic

Cell lengths 12.2074, 12.5192, 5.6954 Å; angles 90.00, 90.00, 90.00 degrees
Last column: nearest neighbours and their distance in Å.
Space group Cmc2_1 (No. 36)
One atom of each set of equivalent atoms:
Cd  0.0000  0.0770  0.0000 x4  4 Ag 2.88-3.21, 1 Hg 3.04, 3 Cd 3.19
Cd  0.0000  0.3006  0.7318 x4  2 Hg 2.84-2.85, 4 Ag 2.86-2.96, 2 Cd 3.16
Cd  0.2110  0.4839  0.7340 x8  4 Cd 2.88-3.22, 4 Ag 2.91-2.98
Cd  0.2204  0.2123  0.9487 x8  2 Ag 2.87-3.02, 5 Cd 3.06-3.19
Ag  0.0000  0.4993  0.4829 x4  2 Ag 2.85, 6 Cd 2.86-2.95, 2 Hg 2.92-2.94
Ag  0.1196  0.1216  0.5082 x8  7 Cd 2.87-3.21, 1 Ag 2.92, 1 Hg 3.06
Hg  0.0000  0.2955  0.2327 x4  3 Cd 2.84-3.04, 4 Ag 2.92-3.06

***

Stability check: which of them is least stable? entry Q.

***

Entry P
Below is Cd8AgHg6 after structural relaxation, with properties calculated at the PBE level.

Computed properties:
- Crystal system: triclinic

Cell lengths 6.6476, 7.3871, 7.5749 Å; angles 80.61, 85.40, 72.86 degrees
Last column: nearest neighbours and their distance in Å.
Space group P-1 (No. 2)
One atom of each set of equivalent atoms:
Cd  0.0072  0.1709  0.1669 x2  6 Hg 2.97-3.30, 3 Cd 3.13-3.22
Cd  0.3780  0.4974  0.6988 x2  5 Hg 2.94-3.27, 3 Cd 3.00-3.21, 1 Ag 3.03
Cd  0.3860  0.1792  0.3833 x2  4 Hg 2.94-3.14, 4 Cd 3.00-3.25, 1 Ag 3.12
Cd  0.4113  0.8266  0.0218 x2  5 Hg 2.94-3.24, 4 Cd 3.00-3.25
Ag  0.0000  0.5000  0.5000 x1  6 Hg 2.99-3.15, 4 Cd 3.03-3.12
Hg  0.1999  0.1603  0.7667 x2  6 Cd 2.94-3.20, 1 Ag 2.99, 2 Hg 3.16-3.26
Hg  0.2057  0.5078  0.1099 x2  7 Cd 2.94-3.24, 1 Ag 3.15, 1 Hg 3.26
Hg  0.2084  0.8292  0.4258 x2  6 Cd 2.94-3.27, 1 Ag 3.09, 1 Hg 3.16

***

Entry Q
Below is Cd8AgHg6 after structural relaxation, with properties calculated at the PBE level.

Computed properties:
- Crystal system: trigonal

Cell lengths 8.4073, 8.4073, 18.4262 Å; angles 90.00, 90.00, 120.00 degrees
Last column: nearest neighbours and their distance in Å.
Space group R-3 (No. 148, hexagonal axes)
One atom of each set of equivalent atoms:
Cd  0.0000  0.0000  0.1638 x6  6 Hg 3.02-3.08
Cd  0.0018  0.3255  0.9474 x18  5 Hg 2.94-3.21
Ag  0.0000  0.0000  0.5000 x3  6 Hg 2.95
Hg  0.0039  0.3457  0.1065 x18  7 Cd 2.94-3.21, 1 Ag 2.95

***

Stability check: which of them is least stable? entry Q.